# 1
An optimized crystal structure of HfFeBW, computed with PBE.

Lattice parameters (Å, degrees): 6.011 6.011 6.011 90.00 90.00 90.00
Space group F-43m (No. 216)
Unique sites:
Hf 0.000 0.000 0.000 (multiplicity 4)
Fe 0.250 0.250 0.750 (multiplicity 4)
B 0.000 0.000 0.500 (multiplicity 4)
W 0.250 0.250 0.250 (multiplicity 4)

Values from the calculation:
The energy above the lowest structure with this stoichiometry is 0 meV per atom. The calculation puts the uncorrected energy at -8.763 eV per atom.

***

# 2
An optimized crystal structure of Nd2H2Pb, computed with PBE.

Lattice parameters (Å, degrees): 4.178 4.178 11.184 90.00 90.00 90.00
Space group I4/mmm (No. 139)
Unique sites:
Nd 0.000 0.000 0.153 (multiplicity 4)
H 0.000 0.500 0.250 (multiplicity 4)
Pb 0.000 0.000 0.500 (multiplicity 2)

Values from the calculation:
The calculation puts the uncorrected energy at -4.626 eV per atom.

***

# 3
An optimized crystal structure of Ta4TlAuC2, computed with PBE.

Lattice parameters (Å, degrees): 3.1789 3.1789 14.1860 90.00 90.00 120.00
Space group P-6m2 (No. 187)
Unique sites:
Ta 0.0000 0.0000 0.1583 (multiplicity 2)
Ta 0.6667 0.3333 0.3265 (multiplicity 2)
Tl 0.0000 0.0000 0.5000 (multiplicity 1)
Au 0.6667 0.3333 0.0000 (multiplicity 1)
C 0.3333 0.6667 0.2418 (multiplicity 2)

Values from the calculation:
The calculation puts the uncorrected energy at -9.280 eV per atom.

***

# 4
An optimized crystal structure of AgPbSeF, computed with PBE.

Lattice parameters (Å, degrees): 6.941 6.965 7.088 90.00 90.00 90.00
Space group P2_12_12_1 (No. 19)
Unique sites:
Ag 0.113 0.233 0.055 (multiplicity 4)
Pb 0.087 0.331 0.586 (multiplicity 4)
Se 0.164 0.926 0.313 (multiplicity 4)
F 0.160 0.594 0.835 (multiplicity 4)

Values from the calculation:
The energy above the lowest structure with this stoichiometry is 105 meV per atom. The calculation puts the uncorrected energy at -3.916 eV per atom.

***

# 5
An optimized crystal structure of CsGdSO, computed with PBE.

Lattice parameters (Å, degrees): 8.204 7.430 6.753 90.00 104.10 90.00
Space group P2_1/c (No. 14)
Unique sites:
Cs 0.079 0.239 0.002 (multiplicity 4)
Gd 0.480 0.628 0.276 (multiplicity 4)
S 0.273 0.595 0.858 (multiplicity 4)
O 0.402 0.144 0.879 (multiplicity 4)

Values from the calculation:
The energy above the lowest structure with this stoichiometry is 0 meV per atom. The calculation puts the uncorrected energy at -5.866 eV per atom.

***

# 6
An optimized crystal structure of InReAuO3, computed with PBE.

Lattice parameters (Å, degrees): 10.563 2.910 10.326 90.00 90.00 90.00
Space group Pnma (No. 62)
Unique sites:
In 0.205 0.250 0.120 (multiplicity 4)
Re 0.022 0.750 0.397 (multiplicity 4)
Au 0.093 0.750 0.922 (multiplicity 4)
O 0.083 0.750 0.698 (multiplicity 4)
O 0.137 0.250 0.490 (multiplicity 4)
O 0.154 0.750 0.262 (multiplicity 4)

Values from the calculation:
The calculation puts the uncorrected energy at -6.445 eV per atom.